Entry one
# HoThSbTe

HoThSbTe after structural relaxation (GGA-PBE, Alexandria via LeMat-Bulk).

Summary:
The calculation puts the density at 9.67 g/cm3.

Unit cell a=5.394 b=5.394 c=5.394 alpha=60.00 beta=60.00 gamma=60.00
Atoms (fractional coordinates):
Te 0.000 0.000 0.000
Th 0.750 0.750 0.750
Sb 0.500 0.500 0.500
Ho 0.250 0.250 0.250

=====

Entry two
# HoThSbTe

HoThSbTe after structural relaxation (GGA-PBE, Alexandria via LeMat-Bulk).

Summary:
The calculation puts the density at 8.72 g/cm3.

Unit cell a=4.427 b=4.427 c=6.276 alpha=90.00 beta=90.00 gamma=90.00
Atoms (fractional coordinates):
Th 0.000 0.000 0.500
Sb 0.000 0.000 0.000
Ho 0.500 0.500 0.000
Te 0.500 0.500 0.500

=====

Most stable: entry two

=====

Entry one
# HoTm3Sb3

HoTm3Sb3 after structural relaxation (GGA-PBE, Alexandria via LeMat-Bulk).

Summary:
The calculation puts the density at 9.15 g/cm3.

Unit cell a=9.096 b=9.096 c=9.096 alpha=90.00 beta=90.00 gamma=90.00
Atoms (fractional coordinates):
Sb 0.124 0.499 0.252
Sb 0.752 0.376 0.501
Tm 0.574 0.074 0.426
Sb 0.252 0.124 0.499
Sb 0.624 0.001 0.748
Ho 0.428 0.428 0.428
Sb 0.376 0.501 0.752
Tm 0.178 0.822 0.322
Tm 0.823 0.677 0.323
Tm 0.426 0.574 0.074
Tm 0.177 0.177 0.177
Tm 0.677 0.323 0.823
Ho 0.572 0.928 0.072
Sb 0.001 0.748 0.624
Sb 0.876 0.999 0.248
Tm 0.074 0.426 0.574
Sb 0.499 0.252 0.124
Sb 0.501 0.752 0.376
Tm 0.678 0.678 0.678
Sb 0.248 0.876 0.999
Ho 0.072 0.572 0.928
Ho 0.928 0.072 0.572
Sb 0.999 0.248 0.876
Tm 0.323 0.823 0.677
Sb 0.748 0.624 0.001
Tm 0.926 0.926 0.926
Tm 0.822 0.322 0.178
Tm 0.322 0.178 0.822

=====

Entry two
# HoTm3Sb3

HoTm3Sb3 after structural relaxation (GGA-PBE, Alexandria via LeMat-Bulk).

Summary:
The calculation puts the density at 8.34 g/cm3.

Unit cell a=8.853 b=8.853 c=7.944 alpha=56.14 beta=56.14 gamma=60.00
Atoms (fractional coordinates):
Sb 0.303 0.527 0.250
Sb 0.920 0.303 0.250
Tm 0.823 0.085 0.751
Ho 0.666 0.666 0.003
Sb 0.473 0.080 0.750
Tm 0.177 0.915 0.249
Tm 0.659 0.177 0.249
Tm 0.341 0.823 0.751
Sb 0.527 0.920 0.250
Ho 0.334 0.334 0.997
Sb 0.080 0.697 0.750
Tm 0.085 0.341 0.751
Tm 0.915 0.659 0.249
Sb 0.697 0.473 0.750

=====

Most stable: entry one

=====

Entry one
# HoTm2Sb

HoTm2Sb after structural relaxation (GGA-PBE, Alexandria via LeMat-Bulk).

Summary:
The calculation puts the density at 9.77 g/cm3.

Unit cell a=4.730 b=4.737 c=4.737 alpha=90.00 beta=90.00 gamma=90.00
Atoms (fractional coordinates):
Sb 0.500 0.000 0.000
Tm 0.000 0.000 0.500
Tm 0.000 0.500 0.000
Ho 0.500 0.500 0.500

=====

Entry two
# HoTm2Sb

HoTm2Sb after structural relaxation (GGA-PBE, Alexandria via LeMat-Bulk).

Summary:
The calculation puts the density at 9.29 g/cm3.

Unit cell a=3.961 b=3.961 c=7.113 alpha=90.00 beta=90.00 gamma=90.00
Atoms (fractional coordinates):
Sb 0.500 0.500 0.000
Tm 0.000 0.000 0.227
Ho 0.500 0.500 0.500
Tm 0.000 0.000 0.773

=====

Entry three
# HoTm2Sb

HoTm2Sb after structural relaxation (GGA-PBE, Alexandria via LeMat-Bulk).

Summary:
The calculation puts the density at 9.70 g/cm3.

Unit cell a=5.327 b=5.327 c=5.327 alpha=60.00 beta=60.00 gamma=60.00
Atoms (fractional coordinates):
Sb 0.500 0.500 0.500
Ho 0.000 0.000 0.000
Tm 0.250 0.250 0.250
Tm 0.750 0.750 0.750

=====

Entry four
# HoTm2Sb

HoTm2Sb after structural relaxation (GGA-PBE, Alexandria via LeMat-Bulk).

Summary:
The calculation puts the density at 8.95 g/cm3.

Unit cell a=4.085 b=6.390 c=9.370 alpha=90.00 beta=90.00 gamma=108.63
Atoms (fractional coordinates):
Tm 0.364 0.729 0.547
Ho 0.057 0.114 0.750
Tm 0.364 0.729 0.953
Sb 0.758 0.516 0.750
Tm 0.636 0.271 0.453
Ho 0.943 0.886 0.250
Sb 0.242 0.484 0.250
Tm 0.636 0.271 0.047

=====

Most stable: entry four

=====

Entry one
# Ho2TmSb

Ho2TmSb after structural relaxation (GGA-PBE, Alexandria via LeMat-Bulk).

Summary:
The calculation puts the density at 9.06 g/cm3.

Unit cell a=4.558 b=4.506 c=11.304 alpha=90.00 beta=101.63 gamma=90.00
Atoms (fractional coordinates):
Sb 0.170 0.250 0.339
Tm 0.692 0.750 0.384
Ho 0.939 0.250 0.877
Sb 0.830 0.750 0.661
Ho 0.564 0.250 0.127
Ho 0.436 0.750 0.873
Ho 0.061 0.750 0.123
Tm 0.308 0.250 0.616

=====

Entry two
# Ho2TmSb

Ho2TmSb after structural relaxation (GGA-PBE, Alexandria via LeMat-Bulk).

Summary:
The calculation puts the density at 9.64 g/cm3.

Unit cell a=4.755 b=4.743 c=4.743 alpha=90.00 beta=90.00 gamma=90.00
Atoms (fractional coordinates):
Ho 0.000 0.500 0.000
Sb 0.500 0.000 0.000
Ho 0.000 0.000 0.500
Tm 0.500 0.500 0.500

=====

Entry three
# Ho2TmSb

Ho2TmSb after structural relaxation (GGA-PBE, Alexandria via LeMat-Bulk).

Summary:
The calculation puts the density at 8.06 g/cm3.

Unit cell a=3.973 b=3.973 c=9.625 alpha=78.09 beta=78.09 gamma=60.00
Atoms (fractional coordinates):
Tm 0.500 0.500 0.499
Ho 0.069 0.069 0.794
Sb 0.666 0.666 0.001
Ho 0.265 0.265 0.206

=====

Most stable: entry one